A relaxed structure of LiP2Se. Source: Alexandria via LeMat-Bulk, functional PBE.

Cell lengths 4.5370, 4.5370, 4.5370 Å; angles 60.00, 60.00, 60.00 degrees
Element x y z (fractional)
Li 0.0000 0.0000 0.0000
P 0.5000 0.5000 0.5000
P 0.7500 0.7500 0.7500
Se 0.2500 0.2500 0.2500

Energy relative to the elements, uncorrected (eV per atom): 0.27
Space-group type: F-43m, No. 216
Magnetization (μB per cell): 0.000
Crystal system: cubic
ρ (Mg/m³): 3.7
DOS at the Fermi energy (states/eV/atom): 0.297